{
  "formula": "Sc4GaAgO",
  "functional": "PBE-GGA",
  "state": "relaxed",
  "lattice": [[3.076, -7.006, 0.000], [3.076, 7.006, 0.000], [0.000, 0.000, 6.137]],
  "species": ["Sc", "Sc", "Sc", "Sc", "Sc", "Sc", "Sc", "Sc", "Ga", "Ga", "Ag", "Ag", "O", "O"],
  "fractional_positions": [[0.000, 0.500, 0.000], [0.000, 0.500, 0.500], [0.076, 0.924, 0.750], [0.422, 0.578, 0.750], [0.500, 0.000, 0.000], [0.500, 0.000, 0.500], [0.578, 0.422, 0.250], [0.924, 0.076, 0.250], [0.380, 0.620, 0.250], [0.620, 0.380, 0.750], [0.115, 0.885, 0.250], [0.885, 0.115, 0.750], [0.251, 0.749, 0.750], [0.749, 0.251, 0.250]],
  "raw_formation_energy_mev_per_atom": -1075.1,
  "dos_at_fermi_per_ev_fu": 2.1,
  "total_energy_ev_per_fu": -43.69,
  "spacegroup": "Cmcm, No. 63",
  "vol_a3_per_atom": 18.90,
  "magmom_total_mub_per_cell": 0.0
}

---

{
  "formula": "Ga2AgSeO6",
  "functional": "PBE-GGA",
  "state": "relaxed",
  "lattice": [[4.533, -4.978, 0.000], [4.533, 4.978, 0.000], [-2.230, 0.000, 5.906]],
  "species": ["Ga", "Ga", "Ga", "Ga", "Ag", "Ag", "Se", "Se", "O", "O", "O", "O", "O", "O", "O", "O", "O", "O", "O", "O"],
  "fractional_positions": [[0.050, 0.213, 0.165], [0.213, 0.050, 0.665], [0.787, 0.950, 0.335], [0.950, 0.787, 0.835], [0.402, 0.598, 0.750], [0.598, 0.402, 0.250], [0.283, 0.717, 0.250], [0.717, 0.283, 0.750], [0.062, 0.169, 0.450], [0.157, 0.622, 0.916], [0.169, 0.062, 0.950], [0.279, 0.467, 0.290], [0.378, 0.843, 0.584], [0.467, 0.279, 0.790], [0.533, 0.721, 0.210], [0.622, 0.157, 0.416], [0.721, 0.533, 0.710], [0.831, 0.938, 0.050], [0.843, 0.378, 0.084], [0.938, 0.831, 0.550]],
  "raw_formation_energy_mev_per_atom": -1051.5,
  "dos_at_fermi_per_ev_fu": 3.1,
  "total_energy_ev_per_fu": -52.65,
  "spacegroup": "C2/c, No. 15",
  "vol_a3_per_atom": 13.33,
  "magmom_total_mub_per_cell": 1.1
}

---

{
  "formula": "GaAgSe2O8",
  "functional": "PBE-GGA",
  "state": "relaxed",
  "lattice": [[4.970, 0.000, 0.000], [-2.485, 4.304, 0.000], [0.000, 0.000, 7.851]],
  "species": ["Ga", "Ag", "Se", "Se", "O", "O", "O", "O", "O", "O", "O", "O"],
  "fractional_positions": [[0.000, 0.000, 0.000], [0.000, 0.000, 0.500], [0.333, 0.667, 0.224], [0.667, 0.333, 0.776], [0.028, 0.330, 0.155], [0.302, 0.972, 0.155], [0.330, 0.302, 0.845], [0.333, 0.667, 0.434], [0.667, 0.333, 0.566], [0.670, 0.698, 0.155], [0.698, 0.028, 0.845], [0.972, 0.670, 0.845]],
  "raw_formation_energy_mev_per_atom": -742.3,
  "dos_at_fermi_per_ev_fu": 0.0,
  "total_energy_ev_per_fu": -61.42,
  "spacegroup": "P-3, No. 147",
  "vol_a3_per_atom": 13.99,
  "magmom_total_mub_per_cell": 0.0
}

---

{
  "formula": "GaSi2AgO6",
  "functional": "PBE-GGA",
  "state": "relaxed",
  "lattice": [[5.238, -5.579, 0.000], [5.238, 5.579, 0.000], [-2.331, 0.000, 4.890]],
  "species": ["Ga", "Ga", "Si", "Si", "Si", "Si", "Ag", "Ag", "O", "O", "O", "O", "O", "O", "O", "O", "O", "O", "O", "O"],
  "fractional_positions": [[0.232, 0.768, 0.750], [0.768, 0.232, 0.250], [0.210, 0.370, 0.349], [0.370, 0.210, 0.849], [0.630, 0.790, 0.151], [0.790, 0.630, 0.651], [0.096, 0.904, 0.250], [0.904, 0.096, 0.750], [0.000, 0.246, 0.195], [0.000, 0.754, 0.805], [0.207, 0.590, 0.429], [0.246, 0.000, 0.695], [0.307, 0.321, 0.630], [0.321, 0.307, 0.130], [0.410, 0.793, 0.071], [0.590, 0.207, 0.929], [0.679, 0.693, 0.870], [0.693, 0.679, 0.370], [0.754, 0.000, 0.305], [0.793, 0.410, 0.571]],
  "raw_formation_energy_mev_per_atom": -2111.4,
  "dos_at_fermi_per_ev_fu": 0.0,
  "total_energy_ev_per_fu": -67.59,
  "spacegroup": "C2/c, No. 15",
  "vol_a3_per_atom": 14.29,
  "magmom_total_mub_per_cell": 0.0
}

---

{
  "formula": "Ga2SiAgO6",
  "functional": "PBE-GGA",
  "state": "relaxed",
  "lattice": [[4.562, -5.577, 0.000], [4.562, 5.577, 0.000], [-2.482, 0.000, 5.079]],
  "species": ["Ga", "Ga", "Ga", "Ga", "Si", "Si", "Ag", "Ag", "O", "O", "O", "O", "O", "O", "O", "O", "O", "O", "O", "O"],
  "fractional_positions": [[0.053, 0.217, 0.164], [0.217, 0.053, 0.664], [0.783, 0.947, 0.336], [0.947, 0.783, 0.836], [0.309, 0.691, 0.250], [0.691, 0.309, 0.750], [0.396, 0.604, 0.750], [0.604, 0.396, 0.250], [0.065, 0.186, 0.485], [0.139, 0.664, 0.975], [0.186, 0.065, 0.985], [0.282, 0.478, 0.320], [0.336, 0.861, 0.525], [0.478, 0.282, 0.820], [0.522, 0.718, 0.180], [0.664, 0.139, 0.475], [0.718, 0.522, 0.680], [0.814, 0.935, 0.015], [0.861, 0.336, 0.025], [0.935, 0.814, 0.515]],
  "raw_formation_energy_mev_per_atom": -1664.2,
  "dos_at_fermi_per_ev_fu": 3.4,
  "total_energy_ev_per_fu": -60.72,
  "spacegroup": "C2/c, No. 15",
  "vol_a3_per_atom": 12.92,
  "magmom_total_mub_per_cell": 2.0
}

---

{
  "formula": "Sr2GaAgO4",
  "functional": "PBE-GGA",
  "state": "relaxed",
  "lattice": [[-3.139, 3.139, 3.274], [3.139, -3.139, 3.274], [3.139, 3.139, -3.274]],
  "species": ["Sr", "Sr", "Ga", "Ag", "O", "O", "O", "O"],
  "fractional_positions": [[0.000, 0.000, 0.000], [0.750, 0.250, 0.500], [0.250, 0.750, 0.500], [0.500, 0.500, 0.000], [0.252, 0.095, 0.506], [0.255, 0.748, 0.843], [0.589, 0.745, 0.494], [0.905, 0.411, 0.157]],
  "raw_formation_energy_mev_per_atom": -1863.6,
  "total_energy_ev_per_fu": -43.98,
  "spacegroup": "I-4, No. 82",
  "vol_a3_per_atom": 16.13,
  "magmom_total_mub_per_cell": 0.0
}

---

{
  "formula": "Sr2GaAgO5",
  "functional": "PBE-GGA",
  "state": "relaxed",
  "lattice": [[1.646, -7.855, 0.000], [1.646, 7.855, 0.000], [0.000, 0.000, 9.846]],
  "species": ["Sr", "Sr", "Sr", "Sr", "Ga", "Ga", "Ag", "Ag", "O", "O", "O", "O", "O", "O", "O", "O", "O", "O"],
  "fractional_positions": [[0.118, 0.882, 0.500], [0.118, 0.882, 0.908], [0.882, 0.118, 0.000], [0.882, 0.118, 0.408], [0.488, 0.512, 0.689], [0.512, 0.488, 0.189], [0.218, 0.782, 0.209], [0.782, 0.218, 0.709], [0.053, 0.947, 0.258], [0.281, 0.719, 0.573], [0.282, 0.718, 0.846], [0.392, 0.608, 0.212], [0.488, 0.512, 0.500], [0.512, 0.488, 0.000], [0.608, 0.392, 0.712], [0.718, 0.282, 0.346], [0.719, 0.281, 0.073], [0.947, 0.053, 0.758]],
  "raw_formation_energy_mev_per_atom": -1770.0,
  "dos_at_fermi_per_ev_fu": 3.2,
  "total_energy_ev_per_fu": -49.96,
  "spacegroup": "Cmc2_1, No. 36",
  "vol_a3_per_atom": 14.14,
  "magmom_total_mub_per_cell": 0.0
}

---

{
  "formula": "TbGaAg2O4",
  "functional": "PBE-GGA",
  "state": "relaxed",
  "lattice": [[5.635, 0.000, 0.000], [0.000, 3.305, 0.000], [-2.450, 0.000, 5.797]],
  "species": ["Tb", "Ga", "Ag", "Ag", "O", "O", "O", "O"],
  "fractional_positions": [[0.000, 0.000, 0.000], [0.500, 0.500, 0.000], [0.000, 0.500, 0.500], [0.500, 0.000, 0.500], [0.273, 0.000, 0.805], [0.282, 0.500, 0.180], [0.718, 0.500, 0.820], [0.727, 0.000, 0.195]],
  "raw_formation_energy_mev_per_atom": -1531.0,
  "dos_at_fermi_per_ev_fu": 0.8,
  "total_energy_ev_per_fu": -45.44,
  "spacegroup": "P2/m, No. 10",
  "vol_a3_per_atom": 13.50,
  "magmom_total_mub_per_cell": 0.0
}